Lu2PaTl, relaxed, DFT PBE; final energy = -20.04 eV per cell; SG = No. 166; M_tot = 0.0 Bohr magnetons per cell; offset from the most stable computed form = 1.14 eV/f.u.; DOS(E_F) = 4.87 states/eV per cell
1.0
3.273 0.000 0.000
1.637 2.835 0.000
1.637 0.945 11.758
Tl Lu Pa
1 2 1
Cartesian
3.273 1.890 5.879
1.637 0.945 8.553
4.910 2.835 3.204
0.000 0.000 0.000